# GGA-PBE RbIn4Rh, optimized geometry
data_RbIn4Rh
_chemical_formula_sum 'Rb2 In8 Rh2'
_symmetry_space_group_name_H-M 'P m m a'
_symmetry_Int_Tables_number 51
_cell_length_a 8.7639
_cell_length_b 4.4470
_cell_length_c 8.6492
_cell_angle_alpha 90.00
_cell_angle_beta 90.00
_cell_angle_gamma 90.00
loop_
_symmetry_equiv_pos_as_xyz
'x,y,z'
'-x,-y,-z'
'-x+1/2,-y,z'
'x+1/2,y,-z'
'x+1/2,-y,-z'
'-x+1/2,y,z'
'-x,y,-z'
'x,-y,z'
loop_
_atom_site_label
_atom_site_type_symbol
_atom_site_fract_x
_atom_site_fract_y
_atom_site_fract_z
Rb1 Rb 0.2500 0.0000 0.0827
In1 In 0.0000 0.0000 0.5000
In2 In 0.0705 0.5000 0.7633
In3 In 0.2500 0.5000 0.4306
Rh1 Rh 0.2500 0.0000 0.6664
# ΔE_f: -0.19 eV/atom
# Fermi-level density of states: 3.37 states/eV/f.u.
# uncorrected energy: -3.404 eV per atom
# energy above the most stable polymorph in this dataset: 0 meV per atom
# total magnetic moment: 0.0 μB/f.u.